Record 1
DFT (GGA-PBE) results for an optimized crystal structure of LiTb5Er4.

```
LiTb5Er4
1.0
-1.768 2.111 -2.241
-1.006 -2.839 -1.881
-19.581 -2.029 13.535
Tb Er Li
5 4 1
direct
0.500 0.500 0.292 Tb
0.500 0.500 0.708 Tb
0.500 0.500 0.500 Tb
0.500 0.500 0.085 Tb
0.500 0.500 0.915 Tb
0.000 0.000 0.604 Er
0.000 0.000 0.396 Er
0.000 0.000 0.187 Er
0.000 0.000 0.813 Er
0.000 0.000 0.000 Li
```

Values from the calculation:
magnetic moment	0.00	μB/cell
formation energy from the elements	0.04	eV/atom
space-group type	No. 123
uncorrected energy	-0.3154	Ry per atom


Record 2
DFT (GGA-PBE) results for an optimized crystal structure of LiTb2Er3Te6.

```
LiTb2Er3Te6
1.0
-4.028 0.602 -1.442
2.546 -2.123 -7.999
-0.561 -8.589 4.451
Te Tb Er Li
6 2 3 1
direct
0.338 0.922 0.675 Te
0.000 0.757 0.001 Te
0.336 0.413 0.673 Te
0.664 0.587 0.327 Te
0.662 0.078 0.325 Te
0.000 0.243 0.999 Te
0.830 0.658 0.659 Tb
0.170 0.342 0.341 Tb
0.831 0.169 0.661 Er
0.169 0.831 0.339 Er
0.500 0.500 0.000 Er
0.500 0.000 0.000 Li
```

Values from the calculation:
magnetic moment	0.00	μB/cell
space-group type	No. 12
E_form (uncorrected)	-1285.8	meV/atom
uncorrected energy	-0.3622	Ry per atom